Entry 1:
Entry from Alexandria via LeMat-Bulk: MgRuRh4 after structural relaxation (PBE).

Unit cell a=5.1147 b=5.1147 c=5.1147 alpha=60.00 beta=60.00 gamma=60.00
With the nearest neighbours (Å) after each atom.
Fractional positions:
Mg: 0.0000 0.0000 0.0000  12 Rh 3.00, 4 Ru 3.13
Ru: 0.7500 0.7500 0.7500  12 Rh 3.00, 4 Mg 3.13
Rh: 0.3750 0.3750 0.3750  6 Rh 2.56
Rh: 0.3750 0.3750 0.8750  6 Rh 2.56
Rh: 0.3750 0.8750 0.3750  6 Rh 2.56
Rh: 0.8750 0.3750 0.3750  6 Rh 2.56

The formation energy comes out at 19 kJ per mole of atoms.



Entry 2:
Entry from Alexandria via LeMat-Bulk: MgRu2Rh after structural relaxation (PBE).

Unit cell a=5.6266 b=5.6266 c=5.6266 alpha=151.28 beta=134.29 gamma=54.88
With the nearest neighbours (Å) after each atom.
Fractional positions:
Mg: 0.0000 0.0000 0.0000  4 Rh 2.59, 2 Mg 2.79
Ru: 0.2793 0.7793 0.5000  2 Rh 2.61, 6 Ru 2.66-2.79
Ru: 0.7207 0.2207 0.5000  2 Rh 2.61, 6 Ru 2.66-2.79
Rh: 0.5000 0.5000 0.0000  4 Mg 2.59, 4 Ru 2.61, 2 Rh 2.79

The formation energy comes out at 6 kJ per mole of atoms.



Entry 3:
Entry from Alexandria via LeMat-Bulk: MgRu2Rh after structural relaxation (PBE).

Unit cell a=2.7314 b=2.7314 c=8.9656 alpha=90.00 beta=90.00 gamma=116.82
With the nearest neighbours (Å) after each atom.
Fractional positions:
Mg: 0.0000 0.0000 0.0000  2 Rh 2.63, 2 Ru 2.71, 6 Mg 2.73-2.86
Ru: 0.0000 0.0000 0.4999  8 Ru 2.60-2.86, 2 Rh 2.69
Ru: 0.5000 0.5000 0.2573  8 Ru 2.60-2.86, 2 Mg 2.71
Rh: 0.5000 0.5000 0.7536  2 Mg 2.63, 2 Ru 2.69, 6 Rh 2.73-2.86

The formation energy comes out at 23 kJ per mole of atoms.



Entry 4:
Entry from Alexandria via LeMat-Bulk: MgRu2Rh after structural relaxation (PBE).

Unit cell a=9.0953 b=9.0953 c=9.0953 alpha=17.43 beta=17.43 gamma=17.43
With the nearest neighbours (Å) after each atom.
Fractional positions:
Mg: 0.0000 0.0000 0.0000  6 Mg 2.76, 6 Ru 2.80
Ru: 0.2477 0.2477 0.2477  3 Rh 2.70, 6 Ru 2.76, 3 Mg 2.80
Ru: 0.7523 0.7523 0.7523  3 Rh 2.70, 6 Ru 2.76, 3 Mg 2.80
Rh: 0.5000 0.5000 0.5000  6 Ru 2.70, 6 Rh 2.76

The formation energy comes out at 14 kJ per mole of atoms.



Entry 5:
Entry from Alexandria via LeMat-Bulk: MgSbRu2Rh after structural relaxation (PBE).

Unit cell a=4.5285 b=4.5285 c=4.4177 alpha=90.00 beta=90.00 gamma=90.00
With the nearest neighbours (Å) after each atom.
Fractional positions:
Mg: 0.0000 0.0000 0.0000  2 Rh 2.21, 4 Ru 2.26
Sb: 0.5000 0.5000 0.5000  8 Ru 3.16, 4 Rh 3.20
Ru: 0.0000 0.5000 0.0000  2 Mg 2.26
Ru: 0.5000 0.0000 0.0000  2 Mg 2.26
Rh: 0.0000 0.0000 0.5000  2 Mg 2.21

For the uncorrected formation energy, the calculation gives 1172 meV/atom.



Entry 6:
Entry from Alexandria via LeMat-Bulk: MgSbRuRh after structural relaxation (PBE).

Unit cell a=4.4698 b=4.4698 c=4.4698 alpha=60.00 beta=60.00 gamma=60.00
With the nearest neighbours (Å) after each atom.
Fractional positions:
Mg: 0.0000 0.0000 0.0000  4 Ru 2.74, 4 Rh 2.74
Sb: 0.5000 0.5000 0.5000  4 Rh 2.74, 4 Ru 2.74
Ru: 0.2500 0.2500 0.2500  4 Sb 2.74, 4 Mg 2.74
Rh: 0.7500 0.7500 0.7500  4 Sb 2.74, 4 Mg 2.74

For the uncorrected formation energy, the calculation gives -394 meV/atom.



Entry 7:
Entry from Alexandria via LeMat-Bulk: Mg2Sc5Ru2Rh after structural relaxation (PBE).

Unit cell a=11.1063 b=11.1063 c=3.2816 alpha=90.00 beta=90.00 gamma=90.00
With the nearest neighbours (Å) after each atom.
Fractional positions:
Mg: 0.1801 0.3199 0.0000  1 Ru 2.94, 2 Sc 3.27, 2 Mg 3.28
Mg: 0.3199 0.8199 0.0000  1 Ru 2.94, 2 Sc 3.27, 2 Mg 3.28
Mg: 0.6801 0.1801 0.0000  1 Ru 2.94, 2 Sc 3.27, 2 Mg 3.28
Mg: 0.8199 0.6801 0.0000  1 Ru 2.94, 2 Sc 3.27, 2 Mg 3.28
Sc: 0.0000 0.5000 0.5000  4 Ru 2.65
Sc: 0.0630 0.8038 0.5000  2 Ru 2.63, 2 Rh 2.82
Sc: 0.1962 0.0630 0.5000  2 Ru 2.63, 2 Rh 2.82
Sc: 0.3038 0.5630 0.5000  2 Ru 2.63, 2 Rh 2.82
Sc: 0.4370 0.3038 0.5000  2 Ru 2.63, 2 Rh 2.82
Sc: 0.5000 0.0000 0.5000  4 Ru 2.65
Sc: 0.5630 0.6962 0.5000  2 Ru 2.63, 2 Rh 2.82
Sc: 0.6962 0.4370 0.5000  2 Ru 2.63, 2 Rh 2.82
Sc: 0.8038 0.9370 0.5000  2 Ru 2.63, 2 Rh 2.82
Sc: 0.9370 0.1962 0.5000  2 Ru 2.63, 2 Rh 2.82
Ru: 0.1327 0.6327 0.0000  6 Sc 2.63-2.65, 1 Mg 2.94
Ru: 0.3673 0.1327 0.0000  6 Sc 2.63-2.65, 1 Mg 2.94
Ru: 0.6327 0.8673 0.0000  6 Sc 2.63-2.65, 1 Mg 2.94
Ru: 0.8673 0.3673 0.0000  6 Sc 2.63-2.65, 1 Mg 2.94
Rh: 0.0000 0.0000 0.0000  8 Sc 2.82
Rh: 0.5000 0.5000 0.0000  8 Sc 2.82

The formation energy comes out at -38 kJ per mole of atoms.



Entry 8:
Entry from Alexandria via LeMat-Bulk: MgRuRh2Se after structural relaxation (PBE).

Unit cell a=4.5539 b=4.5539 c=4.7372 alpha=90.00 beta=90.00 gamma=90.00
With the nearest neighbours (Å) after each atom.
Fractional positions:
Mg: 0.0000 0.0000 0.0000  2 Se 2.37
Ru: 0.5000 0.5000 0.0000  4 Mg 3.22, 8 Rh 3.29
Rh: 0.0000 0.5000 0.5000  2 Se 2.28
Rh: 0.5000 0.0000 0.5000  2 Se 2.28
Se: 0.0000 0.0000 0.5000  4 Rh 2.28, 2 Mg 2.37

For the uncorrected formation energy, the calculation gives 805 meV/atom.